# 1
# TmSnPt | Alexandria | PBE-GGA | optimized geometry
# - E_tot (eV per atom) = -5.80
data_TmSnPt
_cell_length_a 4.6206
_cell_length_b 4.6206
_cell_length_c 3.5327
_cell_angle_alpha 90.00
_cell_angle_beta 90.00
_cell_angle_gamma 120.00
_symmetry_space_group_name_H-M 'P -6 m 2'
_symmetry_Int_Tables_number 187
_symmetry_space_group_name_Hall 'P -6 2'
loop_
_atom_site_label
_atom_site_fract_x
_atom_site_fract_y
_atom_site_fract_z
Tm1 0.0000 0.0000 0.0000
Sn1 0.6667 0.3333 0.5000
Pt1 0.3333 0.6667 0.5000

---

# 2
# TlHRh3 | Alexandria | PBE-GGA | optimized geometry
# - E_tot (eV per atom) = -3.41
# - energy relative to the lowest polymorph listed for this composition (kJ/mol of atoms) = 203.4
data_TlHRh3
_cell_length_a 5.056
_cell_length_b 5.056
_cell_length_c 5.056
_cell_angle_alpha 90.00
_cell_angle_beta 90.00
_cell_angle_gamma 90.00
_symmetry_space_group_name_H-M 'P m -3 m'
_symmetry_Int_Tables_number 221
_symmetry_space_group_name_Hall '-P 4 2 3'
loop_
_atom_site_label
_atom_site_fract_x
_atom_site_fract_y
_atom_site_fract_z
Tl1 0.000 0.000 0.000
H1 0.500 0.500 0.500
Rh1 0.000 0.000 0.500

---

# 3
# Ta8V | Alexandria | PBE-GGA | optimized geometry
# - E_tot (eV per atom) = -11.53
data_Ta8V
_cell_length_a 9.858
_cell_length_b 9.858
_cell_length_c 3.293
_cell_angle_alpha 90.00
_cell_angle_beta 90.00
_cell_angle_gamma 90.00
_symmetry_space_group_name_H-M 'I 4/m m m'
_symmetry_Int_Tables_number 139
_symmetry_space_group_name_Hall '-I 4 2'
loop_
_atom_site_label
_atom_site_fract_x
_atom_site_fract_y
_atom_site_fract_z
Ta1 0.000 0.332 0.000
Ta2 0.162 0.162 0.500
V1 0.000 0.000 0.000

---

# 4
# SrBe3Al | Alexandria | PBE-GGA | optimized geometry
# - E_tot (eV per atom) = -2.69
# - energy relative to the lowest polymorph listed for this composition (kJ/mol of atoms) = 0.0
data_SrBe3Al
_cell_length_a 4.517
_cell_length_b 4.517
_cell_length_c 4.517
_cell_angle_alpha 90.00
_cell_angle_beta 90.00
_cell_angle_gamma 90.00
_symmetry_space_group_name_H-M 'P m -3 m'
_symmetry_Int_Tables_number 221
_symmetry_space_group_name_Hall '-P 4 2 3'
loop_
_atom_site_label
_atom_site_fract_x
_atom_site_fract_y
_atom_site_fract_z
Sr1 0.000 0.000 0.000
Be1 0.000 0.500 0.500
Al1 0.500 0.500 0.500

---

# 5
# SrMgI3 | Alexandria | PBE-GGA | optimized geometry
# - E_tot (eV per atom) = -2.50
# - energy relative to the lowest polymorph listed for this composition (kJ/mol of atoms) = 0.0
# - raw formation energy (eV/atom) = -0.92
data_SrMgI3
_cell_length_a 5.797
_cell_length_b 5.797
_cell_length_c 5.797
_cell_angle_alpha 90.00
_cell_angle_beta 90.00
_cell_angle_gamma 90.00
_symmetry_space_group_name_H-M 'P m -3 m'
_symmetry_Int_Tables_number 221
_symmetry_space_group_name_Hall '-P 4 2 3'
loop_
_atom_site_label
_atom_site_fract_x
_atom_site_fract_y
_atom_site_fract_z
Sr1 0.000 0.000 0.000
Mg1 0.500 0.500 0.500
I1 0.000 0.500 0.500

---

# 6
# Re2NiW | Alexandria | PBE-GGA | optimized geometry
# - E_tot (eV per atom) = -10.75
# - energy relative to the lowest polymorph listed for this composition (kJ/mol of atoms) = 13.6
data_Re2NiW
_cell_length_a 3.244
_cell_length_b 4.251
_cell_length_c 8.371
_cell_angle_alpha 90.00
_cell_angle_beta 90.00
_cell_angle_gamma 90.00
_symmetry_space_group_name_H-M 'C m m m'
_symmetry_Int_Tables_number 65
_symmetry_space_group_name_Hall '-C 2 2'
loop_
_atom_site_label
_atom_site_fract_x
_atom_site_fract_y
_atom_site_fract_z
Re1 0.000 0.000 0.235
Ni1 0.000 0.500 0.000
W1 0.000 0.500 0.500

---

# 7
# Tb2HoAl3 | Alexandria | PBE-GGA | optimized geometry
# - E_tot (eV per atom) = -4.58
data_Tb2HoAl3
_cell_length_a 3.588
_cell_length_b 3.588
_cell_length_c 10.903
_cell_angle_alpha 90.00
_cell_angle_beta 90.00
_cell_angle_gamma 90.00
_symmetry_space_group_name_H-M 'P 4/m m m'
_symmetry_Int_Tables_number 123
_symmetry_space_group_name_Hall '-P 4 2'
loop_
_atom_site_label
_atom_site_fract_x
_atom_site_fract_y
_atom_site_fract_z
Tb1 0.000 0.000 0.168
Ho1 0.000 0.000 0.500
Al1 0.500 0.500 0.000
Al2 0.500 0.500 0.336